Entry 1:
NdEr9Th2 | PBE-GGA | relaxed

## Properties
As for the energy above the most stable polymorph in this dataset: 0.00 kcal/mol of atoms. The value obtained for the formation energy is 0.031 eV/atom. The calculation puts the size of the total moment at 0.00 μB/f.u.

Cell: 4.993 4.993 15.008 Å, 90.00 90.00 90.00°
Positions (direct):
Er1 0.500 0.000 0.170
Er2 0.000 0.500 0.170
Er3 0.500 0.500 0.666
Er4 0.500 0.000 0.830
Er5 0.500 0.500 0.334
Er6 0.000 0.500 0.830
Er7 0.500 0.000 0.500
Er8 0.000 0.500 0.500
Er9 0.500 0.500 0.000
Nd1 0.000 0.000 0.000
Th1 0.000 0.000 0.666
Th2 0.000 0.000 0.334

=====

Entry 2:
LaTb4Sc | PBE-GGA | relaxed

## Properties
As for the energy above the most stable polymorph in this dataset: 14.39 kcal/mol of atoms. The value obtained for the formation energy is 0.666 eV/atom. The calculation puts the size of the total moment at 0.00 μB/f.u.

Cell: 4.962 4.962 9.252 Å, 90.00 90.00 90.00°
Positions (direct):
Tb1 0.997 0.501 0.797
Tb2 0.497 0.001 0.797
Tb3 0.997 0.501 0.207
Tb4 0.497 0.001 0.207
Sc1 0.497 0.501 0.002
La1 0.997 0.001 0.502

=====

Entry 3:
CaAs2Cl | PBE-GGA | relaxed

## Properties
As for the energy above the most stable polymorph in this dataset: 25.83 kcal/mol of atoms. The calculation puts the size of the total moment at 0.00 μB/f.u.

Cell: 9.293 9.293 9.293 Å, 21.30 21.30 21.30°
Positions (direct):
As1 0.004 0.004 0.004
As2 0.496 0.496 0.496
Cl1 0.750 0.750 0.750
Ca1 0.250 0.250 0.250

=====

Entry 4:
Sm4Ga2Ag | PBE-GGA | relaxed

## Properties
As for the energy above the most stable polymorph in this dataset: 2.25 kcal/mol of atoms. The value obtained for the formation energy is -0.247 eV/atom. The calculation puts the size of the total moment at 0.00 μB/f.u.

Cell: 5.038 5.038 9.564 Å, 74.73 74.73 60.00°
Positions (direct):
Sm1 0.379 0.379 0.863
Sm2 0.205 0.205 0.385
Sm3 0.795 0.795 0.615
Sm4 0.621 0.621 0.137
Ag1 0.000 0.000 0.000
Ga1 0.906 0.906 0.283
Ga2 0.094 0.094 0.717